Here is an optimized crystal structure of Mn6AgP7O24 from Alexandria. Energies are from PBE+U.

Cell and atoms, written as POSCAR:
```
Mn6AgP7O24
1.0
-3.358 3.387 -2.588
-1.949 -0.268 6.364
16.403 20.768 5.898
Mn Ag P O
12 2 14 48
Direct
0.815 0.314 0.456 Mn
0.185 0.686 0.956 Mn
0.815 0.314 0.044 Mn
0.185 0.686 0.544 Mn
0.791 0.914 0.598 Mn
0.209 0.086 0.098 Mn
0.124 0.280 0.817 Mn
0.209 0.086 0.402 Mn
0.876 0.720 0.183 Mn
0.124 0.280 0.683 Mn
0.791 0.914 0.902 Mn
0.876 0.720 0.317 Mn
0.770 0.587 0.750 Ag
0.230 0.413 0.250 Ag
0.318 0.617 0.109 P
0.682 0.383 0.609 P
0.682 0.383 0.891 P
0.318 0.617 0.391 P
0.247 0.810 0.832 P
0.753 0.190 0.332 P
0.753 0.190 0.168 P
0.247 0.810 0.668 P
0.456 0.912 0.250 P
0.544 0.088 0.750 P
0.708 0.795 0.024 P
0.292 0.205 0.976 P
0.708 0.795 0.476 P
0.292 0.205 0.524 P
0.856 0.632 0.022 O
0.144 0.368 0.522 O
0.144 0.368 0.978 O
0.856 0.632 0.478 O
0.589 0.825 0.974 O
0.411 0.175 0.474 O
0.411 0.175 0.026 O
0.589 0.825 0.526 O
0.870 0.002 0.048 O
0.130 0.998 0.548 O
0.130 0.998 0.952 O
0.870 0.002 0.452 O
0.452 0.708 0.057 O
0.548 0.292 0.557 O
0.142 0.396 0.095 O
0.452 0.708 0.443 O
0.833 0.203 0.750 O
0.167 0.797 0.250 O
0.366 0.227 0.750 O
0.634 0.773 0.250 O
0.493 0.935 0.704 O
0.507 0.065 0.204 O
0.507 0.065 0.296 O
0.493 0.935 0.796 O
0.517 0.613 0.147 O
0.483 0.387 0.647 O
0.483 0.387 0.853 O
0.517 0.613 0.353 O
0.067 0.948 0.665 O
0.933 0.052 0.165 O
0.933 0.052 0.335 O
0.067 0.948 0.835 O
0.388 0.793 0.620 O
0.612 0.207 0.120 O
0.612 0.207 0.380 O
0.388 0.793 0.880 O
0.120 0.600 0.694 O
0.880 0.400 0.194 O
0.880 0.400 0.306 O
0.120 0.600 0.806 O
0.157 0.765 0.122 O
0.843 0.235 0.622 O
0.843 0.235 0.878 O
0.157 0.765 0.378 O
0.142 0.396 0.405 O
0.858 0.604 0.905 O
0.858 0.604 0.595 O
0.548 0.292 0.943 O
```

Calculated values
The size of the total moment comes out at 60.000 μB per cell. Its space group is P2_1/m (11). The calculation puts the electronic total energy at -566.04 eV for the cell shown.